## A
A plane-wave DFT calculation with GGA-PBE was carried out for crystalline Os3W2 at its relaxed geometry.

Cell lengths 4.696, 4.696, 4.696 Å; angles 65.77, 65.77, 65.77 degrees
Atoms (fractional coordinates):
Os  0.000  0.500  0.500
Os  0.500  0.000  0.500
Os  0.500  0.500  0.000
W  0.120  0.120  0.120
W  0.880  0.880  0.880

Computed properties:
**M_tot**: 0.0 μB/f.u.
**Density of states at the Fermi level**: 0.931 states/eV per atom
**Crystal system**: trigonal

***

## B
A plane-wave DFT calculation with GGA-PBE was carried out for crystalline Os3W2 at its relaxed geometry.

Cell lengths 11.516, 11.516, 11.516 Å; angles 13.79, 13.79, 13.79 degrees
Atoms (fractional coordinates):
Os  0.000  0.000  0.000
Os  0.199  0.199  0.199
Os  0.801  0.801  0.801
W  0.401  0.401  0.401
W  0.599  0.599  0.599

Computed properties:
**M_tot**: 0.0 μB/f.u.
**Density of states at the Fermi level**: 0.790 states/eV per atom
**Crystal system**: trigonal

***

## C
A plane-wave DFT calculation with GGA-PBE was carried out for crystalline Os3W2 at its relaxed geometry.

Cell lengths 7.064, 5.302, 8.125 Å; angles 59.11, 40.10, 80.78 degrees
Atoms (fractional coordinates):
Os  0.000  0.000  0.000
Os  0.250  0.250  0.250
Os  0.368  0.672  0.439
Os  0.672  0.368  0.520
Os  0.730  0.811  0.578
Os  0.811  0.730  0.882
W  0.145  0.476  0.956
W  0.294  0.827  0.105
W  0.476  0.145  0.423
W  0.827  0.294  0.774

Computed properties:
**M_tot**: 0.0 μB/f.u.
**Density of states at the Fermi level**: 0.490 states/eV per atom
**Crystal system**: orthorhombic

***

Preferred: C; penalty for the next structure: 105 meV per atom.

***

## A
A plane-wave DFT calculation with GGA-PBE was carried out for crystalline OsW5 at its relaxed geometry.

Cell lengths 5.163, 5.163, 4.550 Å; angles 90.00, 90.00, 120.00 degrees
Atoms (fractional coordinates):
Os  0.000  0.000  0.000
W  0.000  0.500  0.500
W  0.333  0.667  0.000
W  0.500  0.000  0.500
W  0.500  0.500  0.500
W  0.667  0.333  0.000

Computed properties:
**M_tot**: 0.0 μB/f.u.
**Density of states at the Fermi level**: 0.800 states/eV per atom
**Crystal system**: hexagonal

***

## B
A plane-wave DFT calculation with GGA-PBE was carried out for crystalline OsW5 at its relaxed geometry.

Cell lengths 5.192, 5.192, 5.192 Å; angles 60.00, 60.00, 60.00 degrees
Atoms (fractional coordinates):
Os  0.000  0.000  0.000
W  0.376  0.376  0.376
W  0.376  0.376  0.872
W  0.376  0.872  0.376
W  0.750  0.750  0.750
W  0.872  0.376  0.376

Computed properties:
**M_tot**: 0.0 μB/f.u.
**Density of states at the Fermi level**: 0.876 states/eV per atom
**Crystal system**: cubic

***

## C
A plane-wave DFT calculation with GGA-PBE was carried out for crystalline OsW5 at its relaxed geometry.

Cell lengths 6.881, 6.881, 4.496 Å; angles 90.00, 90.00, 153.38 degrees
Atoms (fractional coordinates):
Os  0.000  0.000  0.000
W  0.164  0.836  0.500
W  0.331  0.669  0.000
W  0.500  0.500  0.500
W  0.669  0.331  0.000
W  0.836  0.164  0.500

Computed properties:
**M_tot**: 0.0 μB/f.u.
**Density of states at the Fermi level**: 0.749 states/eV per atom
**Crystal system**: orthorhombic

***

Preferred: C; penalty for the next structure: 379 meV per atom.